Record 1
! DyAgBiPt PBE optimized geometry; values from VASP
! N(E_F) (states/eV/cell): 2.510
&SYSTEM
  ibrav = 0, nat = 4, ntyp = 4
/
ATOMIC_SPECIES
Ag 107.87 Ag.upf
Bi 208.98 Bi.upf
Pt 195.08 Pt.upf
Dy 162.50 Dy.upf
CELL_PARAMETERS angstrom
4.9973 0.0000 0.0000
2.4987 4.3278 0.0000
2.4987 1.4426 4.0803
ATOMIC_POSITIONS angstrom
Ag 2.4987 1.4426 1.0201
Bi 4.9973 2.8852 2.0402
Pt 7.4960 4.3278 3.0602
Dy 0.0000 0.0000 0.0000

=====

Record 2
! SrPm2Os PBE optimized geometry; values from VASP
! N(E_F) (states/eV/cell): 2.813
! E above lowest polymorph (eV per atom): 0.044
&SYSTEM
  ibrav = 0, nat = 4, ntyp = 3
/
ATOMIC_SPECIES
Sr 87.62 Sr.upf
Os 190.23 Os.upf
Pm 145.00 Pm.upf
CELL_PARAMETERS angstrom
4.2400 0.0000 0.0000
2.1200 3.6720 0.0000
2.1200 1.2240 9.4144
ATOMIC_POSITIONS angstrom
Sr 4.2400 2.4480 4.7072
Os 0.0000 0.0000 0.0000
Pm 2.1200 1.2240 1.4033
Pm 6.3601 3.6720 8.0111

=====

Record 3
! Y3Ga2Pd PBE optimized geometry; values from VASP
! N(E_F) (states/eV/cell): 22.833
&SYSTEM
  ibrav = 0, nat = 24, ntyp = 3
/
ATOMIC_SPECIES
Y 88.91 Y.upf
Ga 69.72 Ga.upf
Pd 106.42 Pd.upf
CELL_PARAMETERS angstrom
-2.4556 -0.9349 -3.5602
-3.2783 -9.4825 4.7511
-9.0978 5.5581 4.8156
ATOMIC_POSITIONS angstrom
Y -2.2707 -3.4915 1.1082
Y -12.5609 -1.3678 4.8983
Y -8.8105 -6.4564 3.6477
Y -6.0212 1.5971 2.3588
Y -4.8431 -5.5419 3.4208
Y -9.9886 0.6826 2.5857
Y -5.0275 -0.9041 -0.4195
Y -9.8042 -3.9552 6.4260
Y -5.4647 -2.2355 2.9813
Y -9.3670 -2.6238 3.0251
Y -6.0135 -8.8604 2.3498
Y -8.8182 4.0011 3.6567
Ga -7.2798 -4.1093 4.7253
Ga -7.5519 -0.7501 1.2812
Ga -2.6227 -2.4293 -1.6777
Ga -12.2090 -2.4301 7.6841
Ga -6.6669 -7.8103 5.2744
Ga -8.1648 2.9510 0.7321
Ga -5.1348 -4.2212 0.5255
Ga -9.6969 -0.6381 5.4810
Pd -2.1345 -0.6486 0.2677
Pd -12.6972 -4.2107 5.7388
Pd -7.2763 -4.4675 2.0672
Pd -7.5554 -0.3918 3.9392

=====

Record 4
! Ce2In2Ag PBE optimized geometry; values from VASP
! N(E_F) (states/eV/cell): 10.264
! E above lowest polymorph (eV per atom): 0.380
&SYSTEM
  ibrav = 0, nat = 5, ntyp = 3
/
ATOMIC_SPECIES
Ce 140.12 Ce.upf
In 114.82 In.upf
Ag 107.87 Ag.upf
CELL_PARAMETERS angstrom
3.1686 0.0000 0.0000
-1.5843 2.7441 0.0000
0.0000 0.0000 14.6034
ATOMIC_POSITIONS angstrom
Ce 0.0000 0.0000 3.1077
Ce 0.0000 0.0000 11.4957
In 1.5843 0.9147 8.6610
In 0.0000 1.8294 5.9425
Ag 0.0000 0.0000 0.0000

=====

| no. | DFT formation energy (meV/atom) | VASP energy (eV/atom) |
| --- | --- | --- |
| 1 | -525.6 | -4.869 |
| 2 | 60.5 | -5.543 |
| 3 | -689.1 | -5.796 |
| 4 | 100.0 | -3.939 |